i.
Material: LaTa2Re
Method: DFT, PBE
State: relaxed

```
8
Lattice="-6.481 2.216 -3.784 1.082 -5.736 -5.212 -4.327 -3.613 -2.796" Properties=species:S:1:pos:R:3 pbc="T T T"
Re 0.000 0.000 0.000
Re -6.754 -1.578 -5.539
La -2.700 -1.760 -4.498
La -2.972 -5.554 -6.253
Ta -5.373 -0.107 -3.935
Ta -0.840 -4.339 -4.210
Ta -5.333 -3.697 -5.169
Ta -7.907 -6.121 -10.271
```

## Properties
Calculated volume = 183.45 Å³ per cell

ii.
Material: LaTa2Re
Method: DFT, PBE
State: relaxed

```
4
Lattice="-1.849 -2.299 0.144 1.052 0.514 -2.712 7.780 -6.142 1.855" Properties=species:S:1:pos:R:3 pbc="T T T"
La 1.546 -2.428 -0.820
Re 5.436 -5.499 0.107
Ta 7.460 -5.890 1.778
Ta 4.210 -3.324 1.004
```

## Properties
Calculated volume = 80.53 Å³ per cell

Most stable of them? ii.

i.
Material: LaTa2Re
Method: DFT, PBE
State: relaxed

```
4
Lattice="10.061 0.027 0.016 9.578 3.080 0.016 9.578 1.515 2.682" Properties=species:S:1:pos:R:3 pbc="T T T"
La 7.304 1.156 0.678
Re 21.913 3.467 2.035
Ta 0.404 0.064 0.038
Ta 14.204 2.247 1.319
```

## Properties
Calculated volume = 81.93 Å³ per cell

ii.
Material: LaTa2Re
Method: DFT, PBE
State: relaxed

```
4
Lattice="-5.161 0.363 1.509 -3.535 -1.314 3.850 -0.401 4.318 3.372" Properties=species:S:1:pos:R:3 pbc="T T T"
La -4.681 1.652 4.435
Re -2.445 0.414 1.995
Ta -8.546 -0.847 5.329
Ta -6.671 2.880 6.697
```

## Properties
Calculated volume = 88.62 Å³ per cell

Most stable of them? ii.

i.
Material: La2TaRe
Method: DFT, PBE
State: relaxed

```
4
Lattice="5.022 -0.021 0.000 0.028 5.022 0.000 -2.525 -2.500 3.549" Properties=species:S:1:pos:R:3 pbc="T T T"
La 0.000 0.000 0.000
La 0.014 2.511 1.774
Re 2.525 2.500 0.000
Ta 2.511 -0.011 1.774
```

## Properties
Calculated volume = 89.50 Å³ per cell

ii.
Material: La2TaRe
Method: DFT, PBE
State: relaxed

```
4
Lattice="-2.222 -1.655 4.574 -1.076 -2.476 -1.419 4.188 -3.683 0.702" Properties=species:S:1:pos:R:3 pbc="T T T"
La -0.028 -0.224 -0.095
La 1.584 -2.856 -0.264
Re -0.333 -2.367 2.108
Ta 1.223 -5.447 1.749
```

## Properties
Calculated volume = 89.61 Å³ per cell

Most stable of them? i.

i.
Material: La2TaRe
Method: DFT, PBE
State: relaxed

```
4
Lattice="3.341 0.000 0.000 0.000 3.341 0.000 0.000 0.000 9.153" Properties=species:S:1:pos:R:3 pbc="T T T"
La 0.000 0.000 8.667
La 1.670 1.670 2.910
Re 0.000 0.000 4.999
Ta 1.670 1.670 6.307
```

## Properties
Calculated volume = 102.14 Å³ per cell

ii.
Material: La2TaRe
Method: DFT, PBE
State: relaxed

```
4
Lattice="-2.954 -0.163 1.309 0.530 -3.087 0.809 3.416 2.694 8.042" Properties=species:S:1:pos:R:3 pbc="T T T"
La 0.094 0.074 0.221
La 1.614 1.273 3.800
Re -0.358 -0.952 3.070
Ta 1.350 0.396 7.091
```

## Properties
Calculated volume = 95.69 Å³ per cell

iii.
Material: La2TaRe
Method: DFT, PBE
State: relaxed

```
4
Lattice="2.346 -0.592 4.557 1.433 4.142 2.722 -2.485 1.210 4.357" Properties=species:S:1:pos:R:3 pbc="T T T"
Re 0.647 2.380 5.818
La 0.324 1.190 2.909
La 0.971 3.570 8.727
Ta 0.000 0.000 0.000
```

## Properties
Calculated volume = 97.13 Å³ per cell

Most stable of them? i.

i.
Material: La2TaRe
Method: DFT, PBE
State: relaxed

```
4
Lattice="10.117 -0.011 -0.006 9.572 3.274 -0.006 9.572 1.586 2.864" Properties=species:S:1:pos:R:3 pbc="T T T"
La 29.055 4.815 2.831
La 14.837 2.459 1.446
Re 7.315 1.212 0.713
Ta 21.946 3.637 2.138
```

## Properties
Calculated volume = 95.37 Å³ per cell

ii.
Material: La2TaRe
Method: DFT, PBE
State: relaxed

```
4
Lattice="3.111 0.000 0.000 -1.253 2.847 0.000 0.000 0.000 10.840" Properties=species:S:1:pos:R:3 pbc="T T T"
La 0.000 0.000 10.442
La 0.929 1.424 3.273
Re 0.000 0.000 5.733
Ta 0.929 1.424 7.651
```

## Properties
Calculated volume = 96.02 Å³ per cell

iii.
Material: La2TaRe
Method: DFT, PBE
State: relaxed

```
4
Lattice="3.482 0.000 0.000 0.000 4.917 0.000 0.000 0.000 5.207" Properties=species:S:1:pos:R:3 pbc="T T T"
La 0.000 0.000 0.000
La 1.741 2.459 0.000
Re 1.741 0.000 2.603
Ta 0.000 2.459 2.603
```

## Properties
Calculated volume = 89.14 Å³ per cell

Most stable of them? ii.

i.
Material: La2TaRe
Method: DFT, PBE
State: relaxed

```
4
Lattice="2.915 0.000 0.000 0.000 5.337 0.000 0.000 0.000 5.839" Properties=species:S:1:pos:R:3 pbc="T T T"
La 0.000 0.000 0.035
La 0.000 0.000 2.884
Re 1.458 2.669 1.460
Ta 1.458 2.669 4.379
```

## Properties
Calculated volume = 90.85 Å³ per cell

ii.
Material: La2TaRe
Method: DFT, PBE
State: relaxed

```
4
Lattice="-5.222 -1.209 0.767 1.056 -3.708 1.345 0.225 1.447 3.812" Properties=species:S:1:pos:R:3 pbc="T T T"
La 0.000 0.000 0.000
La 0.641 -1.131 2.579
Re -2.083 -2.459 1.056
Ta -2.499 0.119 2.290
```

## Properties
Calculated volume = 90.30 Å³ per cell

iii.
Material: La2TaRe
Method: DFT, PBE
State: relaxed

```
4
Lattice="5.125 0.000 0.000 0.000 5.125 0.000 0.000 0.000 3.628" Properties=species:S:1:pos:R:3 pbc="T T T"
La 0.000 0.000 0.000
La 2.562 2.562 0.000
Re 2.562 0.000 1.814
Ta 0.000 2.562 1.814
```

## Properties
Calculated volume = 95.28 Å³ per cell

Most stable of them? ii.